(1)
# PmEu2Tl GGA-PBE optimized geometry
# energy of formation from the pure elements = -0.033 eV/atom
# magnetization = 15.76 μB per formula unit
# crystal system = cubic
# E above lowest polymorph = 131 meV per atom
data_PmEu2Tl
_chemical_formula_sum 'Pm4 Eu8 Tl4'
_cell_length_a 8.055
_cell_length_b 8.055
_cell_length_c 8.055
_cell_angle_alpha 90.00
_cell_angle_beta 90.00
_cell_angle_gamma 90.00
_symmetry_space_group_name_H-M 'F m -3 m'
_symmetry_Int_Tables_number 225
_symmetry_space_group_name_Hall '-F 4 2 3'
loop_
_atom_site_label
_atom_site_type_symbol
_atom_site_fract_x
_atom_site_fract_y
_atom_site_fract_z
Pm1 Pm 0.000 0.000 0.000
Eu1 Eu 0.250 0.250 0.250
Tl1 Tl 0.000 0.000 0.500

(2)
# Y2CrAs GGA-PBE optimized geometry
# energy of formation from the pure elements = -0.014 eV/atom
# magnetization = 4.39 μB per formula unit
# crystal system = tetragonal
data_Y2CrAs
_chemical_formula_sum 'Y8 Cr4 As4'
_cell_length_a 7.806
_cell_length_b 7.806
_cell_length_c 6.840
_cell_angle_alpha 90.00
_cell_angle_beta 90.00
_cell_angle_gamma 90.00
_symmetry_space_group_name_H-M 'I -4 2 d'
_symmetry_Int_Tables_number 122
_symmetry_space_group_name_Hall 'I -4 2bw'
loop_
_atom_site_label
_atom_site_type_symbol
_atom_site_fract_x
_atom_site_fract_y
_atom_site_fract_z
Y1 Y 0.234 0.750 0.125
Cr1 Cr 0.000 0.000 0.500
As1 As 0.000 0.000 0.000

(3)
# MgCrH2Ru GGA-PBE optimized geometry
# magnetization = 0.05 μB per formula unit
# crystal system = tetragonal
# DFT total energy = -4.37 eV/atom
data_MgCrH2Ru
_chemical_formula_sum 'Mg1 Cr1 H2 Ru1'
_cell_length_a 3.509
_cell_length_b 3.509
_cell_length_c 4.789
_cell_angle_alpha 90.00
_cell_angle_beta 90.00
_cell_angle_gamma 90.00
_symmetry_space_group_name_H-M 'P 4/m m m'
_symmetry_Int_Tables_number 123
_symmetry_space_group_name_Hall '-P 4 2'
loop_
_atom_site_label
_atom_site_type_symbol
_atom_site_fract_x
_atom_site_fract_y
_atom_site_fract_z
Mg1 Mg 0.000 0.000 0.000
Cr1 Cr 0.500 0.500 0.000
H1 H 0.000 0.500 0.500
Ru1 Ru 0.000 0.000 0.500

(4)
# ZrTlSe2F GGA-PBE optimized geometry
# magnetization = 0.00 μB per formula unit
# crystal system = tetragonal
# E above lowest polymorph = 69 meV per atom
data_ZrTlSe2F
_chemical_formula_sum 'Zr1 Tl1 Se2 F1'
_cell_length_a 5.345
_cell_length_b 5.345
_cell_length_c 4.274
_cell_angle_alpha 90.00
_cell_angle_beta 90.00
_cell_angle_gamma 90.00
_symmetry_space_group_name_H-M 'P 4/m m m'
_symmetry_Int_Tables_number 123
_symmetry_space_group_name_Hall '-P 4 2'
loop_
_atom_site_label
_atom_site_type_symbol
_atom_site_fract_x
_atom_site_fract_y
_atom_site_fract_z
Zr1 Zr 0.000 0.000 0.000
Tl1 Tl 0.500 0.500 0.500
Se1 Se 0.000 0.500 0.000
F1 F 0.000 0.000 0.500

(5)
# InGaTe GGA-PBE optimized geometry
# magnetization = 0.00 μB per formula unit
# crystal system = monoclinic
# E above lowest polymorph = 21 meV per atom
data_InGaTe
_chemical_formula_sum 'In4 Ga4 Te4'
_cell_length_a 6.704
_cell_length_b 6.737
_cell_length_c 8.277
_cell_angle_alpha 90.00
_cell_angle_beta 112.14
_cell_angle_gamma 90.00
_symmetry_space_group_name_H-M 'P 1 21/c 1'
_symmetry_Int_Tables_number 14
loop_
_symmetry_equiv_pos_as_xyz
'x,y,z'
'-x,-y,-z'
'-x,y+1/2,-z+1/2'
'x,-y+1/2,z+1/2'
loop_
_atom_site_label
_atom_site_type_symbol
_atom_site_fract_x
_atom_site_fract_y
_atom_site_fract_z
In1 In 0.162 0.218 0.482
Ga1 Ga 0.467 0.600 0.172
Te1 Te 0.197 0.643 0.380

(6)
# CaNdPdPb GGA-PBE optimized geometry
# energy of formation from the pure elements = -0.589 eV/atom
# magnetization = 0.00 μB per formula unit
# crystal system = cubic
data_CaNdPdPb
_chemical_formula_sum 'Ca4 Nd4 Pd4 Pb4'
_cell_length_a 7.520
_cell_length_b 7.520
_cell_length_c 7.520
_cell_angle_alpha 90.00
_cell_angle_beta 90.00
_cell_angle_gamma 90.00
_symmetry_space_group_name_H-M 'F -4 3 m'
_symmetry_Int_Tables_number 216
_symmetry_space_group_name_Hall 'F -4 2 3'
loop_
_atom_site_label
_atom_site_type_symbol
_atom_site_fract_x
_atom_site_fract_y
_atom_site_fract_z
Ca1 Ca 0.000 0.000 0.000
Nd1 Nd 0.000 0.000 0.500
Pd1 Pd 0.250 0.250 0.750
Pb1 Pb 0.250 0.250 0.250